Entry from the Alexandria database: a relaxed structure of MnP2O7 (GGA+U).

The structure in extended XYZ format:
```
20
Lattice="4.887 0.000 0.000 -2.443 4.232 0.000 0.000 0.000 12.433" Properties=species:S:1:pos:R:3 pbc="T T T"
Mn 0.000 0.000 0.000
Mn 0.000 0.000 6.216
P 0.000 2.821 1.527
P 0.000 2.821 4.689
P 2.443 1.411 7.744
P 2.443 1.411 10.906
O -0.559 1.451 1.127
O -0.559 1.451 5.089
O -0.907 3.991 1.127
O -0.907 3.991 5.089
O 0.000 2.821 3.108
O 0.977 1.210 7.344
O 0.977 1.210 11.305
O 1.466 3.022 1.127
O 1.466 3.022 5.089
O 2.443 1.411 9.325
O 3.350 0.241 7.344
O 3.350 0.241 11.305
O 3.003 2.781 7.344
O 3.003 2.781 11.305
```

Computed properties:
- Size of the total moment: 2.92 μB per formula unit
- E above lowest polymorph: 0.01 eV per formula unit
- Space-group type: No. 176